Compound: Dy7Y12Tm
Source: the Alexandria database
Functional: GGA-PBE
Structure: optimized geometry

POSCAR file:
```
Dy7Y12Tm
1.0
9.307 5.374 2.233
-9.307 5.374 2.233
0.000 -10.747 2.233
Dy Y Tm
7 12 1
direct
0.000 0.000 0.000
0.136 0.437 0.301
0.301 0.136 0.437
0.437 0.301 0.136
0.563 0.699 0.864
0.699 0.864 0.563
0.864 0.563 0.699
0.005 0.795 0.585
0.205 0.415 0.995
0.232 0.755 0.300
0.245 0.700 0.768
0.300 0.232 0.755
0.415 0.995 0.205
0.585 0.005 0.795
0.700 0.768 0.245
0.755 0.300 0.232
0.768 0.245 0.700
0.795 0.585 0.005
0.995 0.205 0.415
0.500 0.500 0.500
```

Computed properties:
distance to the lowest polymorph of the same formula = 47 meV/atom
VASP energy = -107.68 eV for the cell shown
DOS at the Fermi energy = 29.22 states/eV/f.u.


Compound: DyYTm4
Source: the Alexandria database
Functional: GGA-PBE
Structure: optimized geometry

POSCAR file:
```
DyYTm4
1.0
4.341 -7.238 0.000
4.341 7.238 0.000
-2.177 0.000 6.016
Dy Y Tm
2 2 8
direct
0.002 0.998 0.750
0.998 0.002 0.250
0.414 0.586 0.250
0.586 0.414 0.750
0.101 0.711 0.968
0.165 0.428 0.622
0.289 0.899 0.532
0.428 0.165 0.122
0.572 0.835 0.878
0.711 0.101 0.468
0.835 0.572 0.378
0.899 0.289 0.032
```

Computed properties:
distance to the lowest polymorph of the same formula = 70 meV/atom
VASP energy = -56.14 eV for the cell shown
DOS at the Fermi energy = 10.04 states/eV/f.u.


Compound: Dy15YTm4
Source: the Alexandria database
Functional: GGA-PBE
Structure: optimized geometry

POSCAR file:
```
Dy15YTm4
1.0
4.997 0.000 0.000
0.000 4.997 0.000
0.000 0.000 24.974
Dy Y Tm
15 1 4
direct
0.000 0.000 0.000
0.000 0.000 0.201
0.000 0.000 0.400
0.000 0.000 0.600
0.000 0.000 0.799
0.000 0.500 0.101
0.000 0.500 0.301
0.000 0.500 0.500
0.000 0.500 0.699
0.000 0.500 0.899
0.500 0.000 0.101
0.500 0.000 0.301
0.500 0.000 0.500
0.500 0.000 0.699
0.500 0.000 0.899
0.500 0.500 0.000
0.500 0.500 0.201
0.500 0.500 0.400
0.500 0.500 0.600
0.500 0.500 0.799
```

Computed properties:
VASP energy = -92.98 eV for the cell shown
DOS at the Fermi energy = 26.20 states/eV/f.u.


Compound: Dy2Y2Tm15
Source: the Alexandria database
Functional: GGA-PBE
Structure: optimized geometry

POSCAR file:
```
Dy2Y2Tm15
1.0
5.525 3.190 5.795
-5.525 3.190 5.795
0.000 -6.380 5.795
Dy Y Tm
2 2 15
direct
0.102 0.102 0.102
0.898 0.898 0.898
0.324 0.324 0.324
0.676 0.676 0.676
0.000 0.000 0.500
0.000 0.302 0.698
0.000 0.500 0.000
0.000 0.698 0.302
0.148 0.633 0.633
0.302 0.000 0.698
0.302 0.698 0.000
0.367 0.367 0.852
0.367 0.852 0.367
0.500 0.000 0.000
0.633 0.148 0.633
0.633 0.633 0.148
0.698 0.000 0.302
0.698 0.302 0.000
0.852 0.367 0.367
```

Computed properties:
VASP energy = -83.86 eV for the cell shown
DOS at the Fermi energy = 33.38 states/eV/f.u.


Compound: Dy2Y5Tm3
Source: the Alexandria database
Functional: GGA-PBE
Structure: optimized geometry

POSCAR file:
```
Dy2Y5Tm3
1.0
-4.897 9.905 3.349
4.897 -9.905 3.349
4.897 9.905 -3.349
Dy Y Tm
4 10 6
direct
0.055 0.250 0.305
0.445 0.750 0.195
0.555 0.250 0.805
0.945 0.750 0.695
0.083 0.750 0.333
0.209 0.169 0.378
0.250 0.250 0.000
0.291 0.669 0.960
0.417 0.750 0.667
0.583 0.250 0.333
0.709 0.331 0.040
0.750 0.750 0.000
0.791 0.831 0.622
0.917 0.250 0.667
0.125 0.814 0.940
0.250 0.750 0.500
0.375 0.314 0.689
0.625 0.686 0.311
0.750 0.250 0.500
0.875 0.186 0.060
```

Computed properties:
distance to the lowest polymorph of the same formula = 59 meV/atom
VASP energy = -104.83 eV for the cell shown
DOS at the Fermi energy = 16.50 states/eV/f.u.


Compound: Dy2Y2Tm3
Source: the Alexandria database
Functional: GGA-PBE
Structure: optimized geometry

POSCAR file:
```
Dy2Y2Tm3
1.0
-4.812 4.812 4.812
4.812 -4.812 4.812
4.812 4.812 -4.812
Dy Y Tm
4 4 6
direct
0.000 0.414 0.500
0.086 0.086 0.086
0.414 0.500 0.000
0.500 0.000 0.414
0.000 0.811 0.500
0.500 0.000 0.811
0.689 0.689 0.689
0.811 0.500 0.000
0.191 0.750 0.941
0.250 0.559 0.309
0.309 0.250 0.559
0.559 0.309 0.250
0.750 0.941 0.191
0.941 0.191 0.750
```

Computed properties:
distance to the lowest polymorph of the same formula = 35 meV/atom
VASP energy = -67.66 eV for the cell shown
DOS at the Fermi energy = 9.53 states/eV/f.u.


Compound: Dy3Y4Tm5
Source: the Alexandria database
Functional: GGA-PBE
Structure: optimized geometry

POSCAR file:
```
Dy3Y4Tm5
1.0
6.108 0.000 0.000
0.010 7.067 0.000
0.006 0.005 8.637
Dy Y Tm
3 4 5
direct
0.000 0.000 0.000
0.168 0.249 0.332
0.832 0.751 0.668
0.167 0.751 0.332
0.332 0.501 0.668
0.668 0.499 0.332
0.833 0.249 0.668
0.000 0.500 0.000
0.334 0.000 0.668
0.499 0.249 0.000
0.501 0.751 0.000
0.666 0.000 0.332
```

Computed properties:
distance to the lowest polymorph of the same formula = 0 meV/atom
VASP energy = -61.71 eV for the cell shown
DOS at the Fermi energy = 16.63 states/eV/f.u.


Compound: Dy2Y4Tm
Source: the Alexandria database
Functional: GGA-PBE
Structure: optimized geometry

POSCAR file:
```
Dy2Y4Tm
1.0
5.932 0.000 0.000
0.000 6.698 0.000
-2.944 0.000 11.281
Dy Y Tm
4 8 2
direct
0.088 0.250 0.493
0.333 0.750 0.060
0.667 0.250 0.940
0.912 0.750 0.507
0.155 0.003 0.790
0.155 0.497 0.790
0.232 0.250 0.075
0.360 0.750 0.345
0.640 0.250 0.655
0.768 0.750 0.925
0.845 0.503 0.210
0.845 0.997 0.210
0.489 0.750 0.644
0.511 0.250 0.356
```

Computed properties:
distance to the lowest polymorph of the same formula = 104 meV/atom
VASP energy = -77.10 eV for the cell shown
DOS at the Fermi energy = 12.93 states/eV/f.u.


Compound: Dy3Y6Tm
Source: the Alexandria database
Functional: GGA-PBE
Structure: optimized geometry

POSCAR file:
```
Dy3Y6Tm
1.0
5.479 -9.464 0.000
5.479 9.464 0.000
0.000 0.000 6.244
Dy Y Tm
6 12 2
direct
0.110 0.890 0.500
0.220 0.440 0.883
0.440 0.220 0.383
0.560 0.780 0.883
0.780 0.560 0.383
0.890 0.110 0.000
0.035 0.453 0.286
0.119 0.210 0.469
0.210 0.119 0.969
0.221 0.779 0.081
0.453 0.035 0.786
0.453 0.547 0.338
0.547 0.453 0.838
0.547 0.965 0.286
0.779 0.221 0.581
0.790 0.881 0.469
0.881 0.790 0.969
0.965 0.547 0.786
0.294 0.706 0.575
0.706 0.294 0.075
```

Computed properties:
distance to the lowest polymorph of the same formula = 29 meV/atom
VASP energy = -111.23 eV for the cell shown
DOS at the Fermi energy = 15.29 states/eV/f.u.


Compound: Dy4Y3Tm4
Source: the Alexandria database
Functional: GGA-PBE
Structure: optimized geometry

POSCAR file:
```
Dy4Y3Tm4
1.0
17.858 -1.753 0.000
17.858 1.753 0.000
-0.860 0.000 5.490
Dy Y Tm
4 3 4
direct
0.091 0.091 0.090
0.234 0.234 0.734
0.766 0.766 0.266
0.909 0.909 0.910
0.363 0.363 0.363
0.500 0.500 0.000
0.637 0.637 0.637
0.046 0.046 0.545
0.181 0.181 0.181
0.819 0.819 0.819
0.954 0.954 0.455
```

Computed properties:
distance to the lowest polymorph of the same formula = 37 meV/atom
VASP energy = -55.02 eV for the cell shown
DOS at the Fermi energy = 21.55 states/eV/f.u.


Compound: DyY3Tm5
Source: the Alexandria database
Functional: GGA-PBE
Structure: optimized geometry

POSCAR file:
```
DyY3Tm5
1.0
-3.490 8.324 4.801
3.490 -8.324 4.801
3.490 8.324 -4.801
Dy Y Tm
2 6 10
direct
0.324 0.074 0.250
0.676 0.926 0.750
0.000 0.000 0.500
0.000 0.500 0.000
0.332 0.000 0.832
0.332 0.500 0.332
0.668 0.000 0.168
0.668 0.500 0.668
0.003 0.085 0.918
0.003 0.418 0.585
0.333 0.915 0.418
0.334 0.418 0.915
0.343 0.593 0.750
0.657 0.407 0.250
0.666 0.582 0.085
0.667 0.085 0.582
0.997 0.582 0.415
0.997 0.915 0.082
```

Computed properties:
distance to the lowest polymorph of the same formula = 12 meV/atom
VASP energy = -91.37 eV for the cell shown
DOS at the Fermi energy = 17.49 states/eV/f.u.


Compound: DyYTm3
Source: the Alexandria database
Functional: GGA-PBE
Structure: optimized geometry

POSCAR file:
```
DyYTm3
1.0
9.093 0.000 0.000
0.000 6.220 0.000
-5.110 0.000 11.006
Dy Y Tm
4 4 12
direct
0.149 0.167 0.099
0.149 0.333 0.599
0.851 0.667 0.401
0.851 0.833 0.901
0.350 0.168 0.900
0.350 0.332 0.400
0.650 0.668 0.600
0.650 0.832 0.100
0.051 0.667 0.201
0.051 0.833 0.701
0.249 0.665 0.000
0.249 0.835 0.500
0.449 0.666 0.799
0.449 0.834 0.299
0.551 0.166 0.701
0.551 0.334 0.201
0.751 0.165 0.500
0.751 0.335 0.000
0.949 0.167 0.299
0.949 0.333 0.799
```

Computed properties:
VASP energy = -97.94 eV for the cell shown
DOS at the Fermi energy = 8.47 states/eV/f.u.


Q: Among the records above, which one has the highest VASP energy?
A: Dy4Y3Tm4


Q: Look up the DOS at the Fermi energy of the twelfth one.
A: 8.47 states/eV/f.u.